1.
This record from the Alexandria database describes crystalline SrMg3Pd3 at its relaxed geometry. The functional is PBE.

a b c (Å): 7.119 7.119 7.119
angles (deg): 90.00 90.00 90.00
Space group Pm-3n (No. 223)
Symmetry-distinct sites (fractional):
Sr (0.000, 0.000, 0.000) [2 per cell]
Mg (0.000, 0.250, 0.500) [6 per cell]
Pd (0.000, 0.500, 0.250) [6 per cell]

Results
As for the spin magnetization: 0.0 μB/cell. As for the formation energy: -228 meV/atom. The calculation puts the volume at 25.8 Å³/atom. The total energy comes out at -3.377 eV/atom.

=====

2.
This record from the Alexandria database describes crystalline SmGa4Au2 at its relaxed geometry. The functional is PBE.

a b c (Å): 17.420 4.471 6.950
angles (deg): 90.00 90.00 90.00
Space group Pnma (No. 62)
Symmetry-distinct sites (fractional):
Sm (0.142, 0.250, 0.016) [4 per cell]
Ga (0.039, 0.750, 0.855) [4 per cell]
Ga (0.064, 0.250, 0.465) [4 per cell]
Ga (0.182, 0.750, 0.326) [4 per cell]
Ga (0.186, 0.750, 0.730) [4 per cell]
Au (0.032, 0.750, 0.242) [4 per cell]
Au (0.215, 0.250, 0.533) [4 per cell]

Results
As for the spin magnetization: 0.0 μB/cell. As for the formation energy: -504 meV/atom. The calculation puts the volume at 19.3 Å³/atom. The total energy comes out at -3.844 eV/atom.

=====

3.
This record from the Alexandria database describes crystalline LaSiAu at its relaxed geometry. The functional is PBE.

a b c (Å): 4.244 5.897 6.543
angles (deg): 98.16 90.94 110.97
Space group P-1 (No. 2)
Symmetry-distinct sites (fractional):
La (0.173, 0.336, 0.220) [2 per cell]
Si (0.433, 0.862, 0.117) [2 per cell]
Au (0.100, 0.215, 0.681) [2 per cell]

Results
As for the spin magnetization: 0.0 μB/cell. The calculation puts the volume at 25.2 Å³/atom. The total energy comes out at -5.155 eV/atom. As for the uncorrected formation energy: -0.6128 eV per atom.

=====

4.
This record from the Alexandria database describes crystalline Ni2AgPd at its relaxed geometry. The functional is PBE.

a b c (Å): 2.7264 2.7264 26.0023
angles (deg): 90.00 90.00 120.00
Space group R-3m (No. 166, hexagonal axes)
Symmetry-distinct sites (fractional):
Ni (0.0000, 0.0000, 0.2473) [6 per cell]
Ag (0.0000, 0.0000, 0.0000) [3 per cell]
Pd (0.0000, 0.0000, 0.5000) [3 per cell]

Results
As for the spin magnetization: 4.3 μB/cell. As for the formation energy: 192 meV/atom. The calculation puts the volume at 13.9 Å³/atom. The total energy comes out at -4.709 eV/atom.

=====

5.
This record from the Alexandria database describes crystalline Sm4Tl2Au at its relaxed geometry. The functional is PBE.

a b c (Å): 17.542 3.766 7.149
angles (deg): 90.00 113.12 90.00
Space group C2/m (No. 12)
Symmetry-distinct sites (fractional):
Sm (0.088, 0.000, 0.440) [4 per cell]
Sm (0.121, 0.500, 0.929) [4 per cell]
Tl (0.249, 0.500, 0.697) [4 per cell]
Au (0.000, 0.000, 0.000) [2 per cell]

Results
As for the spin magnetization: 0.0 μB/cell. As for the formation energy: -301 meV/atom. The calculation puts the volume at 31.0 Å³/atom. The total energy comes out at -4.142 eV/atom.

=====

6.
This record from the Alexandria database describes crystalline LiCaRu2 at its relaxed geometry. The functional is PBE.

a b c (Å): 10.173 2.931 4.635
angles (deg): 90.00 111.82 90.00
Space group C2/m (No. 12)
Symmetry-distinct sites (fractional):
Li (0.000, 0.000, 0.000) [2 per cell]
Ca (0.000, 0.500, 0.500) [2 per cell]
Ru (0.235, 0.500, 0.228) [4 per cell]

Results
As for the spin magnetization: 0.0 μB/cell. As for the formation energy: 346 meV/atom. The calculation puts the volume at 16.0 Å³/atom. The total energy comes out at -5.271 eV/atom.

=====

7.
This record from the Alexandria database describes crystalline Pm6DyHg2 at its relaxed geometry. The functional is PBE.

a b c (Å): 12.880 3.790 12.142
angles (deg): 90.00 108.84 90.00
Space group C2/m (No. 12)
Symmetry-distinct sites (fractional):
Pm (0.021, 0.000, 0.337) [4 per cell]
Pm (0.187, 0.500, 0.876) [4 per cell]
Pm (0.190, 0.500, 0.590) [4 per cell]
Dy (0.000, 0.000, 0.000) [2 per cell]
Hg (0.138, 0.500, 0.196) [4 per cell]

Results
As for the spin magnetization: 0.0 μB/cell. As for the formation energy: -212 meV/atom. The calculation puts the volume at 31.2 Å³/atom. The total energy comes out at -3.957 eV/atom.

=====

8.
This record from the Alexandria database describes crystalline Ba2GeAu at its relaxed geometry. The functional is PBE.

a b c (Å): 6.779 6.779 17.394
angles (deg): 90.00 90.00 90.00
Space group I-42d (No. 122)
Symmetry-distinct sites (fractional):
Ba (0.242, 0.250, 0.125) [8 per cell]
Ge (0.000, 0.000, 0.000) [4 per cell]
Au (0.000, 0.000, 0.500) [4 per cell]

Results
As for the spin magnetization: 3.8 μB/cell. As for the formation energy: -144 meV/atom. The calculation puts the volume at 50.0 Å³/atom. The total energy comes out at -3.079 eV/atom.

=====

9.
This record from the Alexandria database describes crystalline NaIn2Hg6 at its relaxed geometry. The functional is PBE.

a b c (Å): 6.381 15.670 5.012
angles (deg): 90.00 110.34 90.00
Space group C2/m (No. 12)
Symmetry-distinct sites (fractional):
Na (0.000, 0.000, 0.000) [2 per cell]
In (0.000, 0.165, 0.500) [4 per cell]
Hg (0.168, 0.500, 0.333) [4 per cell]
Hg (0.170, 0.337, 0.836) [8 per cell]

Results
As for the spin magnetization: 0.0 μB/cell. As for the formation energy: -73 meV/atom. The calculation puts the volume at 26.1 Å³/atom. The total energy comes out at -1.029 eV/atom.

=====

10.
This record from the Alexandria database describes crystalline Tb3Sc2Al3 at its relaxed geometry. The functional is PBE.

a b c (Å): 3.566 5.134 20.927
angles (deg): 90.00 90.00 90.00
Space group Immm (No. 71)
Symmetry-distinct sites (fractional):
Tb (0.000, 0.000, 0.000) [2 per cell]
Tb (0.000, 0.500, 0.123) [4 per cell]
Sc (0.000, 0.000, 0.235) [4 per cell]
Al (0.000, 0.000, 0.500) [2 per cell]
Al (0.000, 0.500, 0.375) [4 per cell]

Results
As for the spin magnetization: 0.0 μB/cell. As for the formation energy: -317 meV/atom. The calculation puts the volume at 23.9 Å³/atom. The total energy comes out at -5.039 eV/atom.

=====

11.
This record from the Alexandria database describes crystalline CePr8In2 at its relaxed geometry. The functional is PBE.

a b c (Å): 17.645 6.856 6.475
angles (deg): 90.00 104.80 90.00
Space group C2/m (No. 12)
Symmetry-distinct sites (fractional):
Ce (0.000, 0.000, 0.000) [2 per cell]
Pr (0.084, 0.500, 0.924) [4 per cell]
Pr (0.099, 0.247, 0.471) [8 per cell]
Pr (0.215, 0.000, 0.146) [4 per cell]
In (0.240, 0.500, 0.320) [4 per cell]

Results
As for the spin magnetization: 2.7 μB/cell. As for the formation energy: -44 meV/atom. The calculation puts the volume at 34.4 Å³/atom. The total energy comes out at -4.557 eV/atom.

=====

12.
This record from the Alexandria database describes crystalline MnTe2Au at its relaxed geometry. The functional is PBE.

a b c (Å): 3.915 4.290 12.624
angles (deg): 90.00 90.00 90.00
Space group Immm (No. 71)
Symmetry-distinct sites (fractional):
Mn (0.000, 0.000, 0.000) [2 per cell]
Te (0.000, 0.500, 0.351) [4 per cell]
Au (0.000, 0.000, 0.500) [2 per cell]

Results
As for the spin magnetization: 7.3 μB/cell. The calculation puts the volume at 26.5 Å³/atom. The total energy comes out at -4.735 eV/atom. As for the uncorrected formation energy: -0.0527 eV per atom.